(1)
DFT (PBE) results for crystalline Ho8Th3 at its relaxed geometry.

Structure (CIF):
```
data_Ho8Th3
_symmetry_space_group_name_H-M 'P 1'
_symmetry_Int_Tables_number 1
_cell_length_a 7.773
_cell_length_b 7.774
_cell_length_c 7.773
_cell_angle_alpha 108.52
_cell_angle_beta 108.52
_cell_angle_gamma 108.52
loop_
_symmetry_equiv_pos_as_xyz
'x,y,z'
loop_
_atom_site_label
_atom_site_type_symbol
_atom_site_fract_x
_atom_site_fract_y
_atom_site_fract_z
Ho1 Ho 0.687 0.169 0.004
Ho2 Ho 0.004 0.687 0.169
Ho3 Ho 0.169 0.004 0.687
Ho4 Ho 0.744 0.744 0.744
Ho5 Ho 0.256 0.256 0.256
Ho6 Ho 0.831 0.996 0.313
Ho7 Ho 0.996 0.313 0.831
Ho8 Ho 0.313 0.831 0.996
Th1 Th 0.000 0.500 0.500
Th2 Th 0.500 0.000 0.500
Th3 Th 0.500 0.500 0.000
```

Calculated values
Space-group type: R-3
Energy of formation from the pure elements: 0.48 eV per atom
Total energy: -53.64 eV per cell
Crystal system: trigonal

(2)
DFT (PBE) results for crystalline Be3TcMo at its relaxed geometry.

Structure (CIF):
```
data_Be3TcMo
_symmetry_space_group_name_H-M 'P 1'
_symmetry_Int_Tables_number 1
_cell_length_a 4.023
_cell_length_b 4.023
_cell_length_c 4.023
_cell_angle_alpha 90.00
_cell_angle_beta 90.00
_cell_angle_gamma 90.00
loop_
_symmetry_equiv_pos_as_xyz
'x,y,z'
loop_
_atom_site_label
_atom_site_type_symbol
_atom_site_fract_x
_atom_site_fract_y
_atom_site_fract_z
Be1 Be 0.000 0.500 0.000
Be2 Be 0.000 0.000 0.500
Be3 Be 0.500 0.000 0.000
Mo1 Mo 0.500 0.500 0.500
Tc1 Tc 0.000 0.000 0.000
```

Calculated values
Space-group type: Pm-3m
Energy of formation from the pure elements: 0.98 eV per atom
Total energy: -27.49 eV per cell
Crystal system: cubic

(3)
DFT (PBE) results for crystalline NiH2I at its relaxed geometry.

Structure (CIF):
```
data_NiH2I
_symmetry_space_group_name_H-M 'P 1'
_symmetry_Int_Tables_number 1
_cell_length_a 5.309
_cell_length_b 5.309
_cell_length_c 5.312
_cell_angle_alpha 60.02
_cell_angle_beta 60.02
_cell_angle_gamma 90.00
loop_
_symmetry_equiv_pos_as_xyz
'x,y,z'
loop_
_atom_site_label
_atom_site_type_symbol
_atom_site_fract_x
_atom_site_fract_y
_atom_site_fract_z
I1 I 0.000 0.000 0.000
I2 I 0.750 0.250 0.500
Ni1 Ni 0.500 0.500 0.000
Ni2 Ni 0.250 0.750 0.500
H1 H 0.374 0.125 0.250
H2 H 0.376 0.625 0.250
H3 H 0.375 0.626 0.750
H4 H 0.875 0.624 0.750
```

Calculated values
Space-group type: Fd-3m
Total energy: -24.48 eV per cell
Crystal system: cubic